Model A:
RbPbS2Cl PBE relaxed; M_tot = 0.000 Bohr magnetons per cell; crystal system = tetragonal; mass density = 4.1 g/cm³; V = 158.73 Å³ per cell
1.0
5.2554 0.0000 0.0000
0.0000 5.2554 0.0000
0.0000 0.0000 5.7471
Pb Cl S Rb
1 1 2 1
Direct
0.0000 0.0000 0.0000
0.0000 0.0000 0.5000
0.0000 0.5000 0.0000
0.5000 0.0000 0.0000
0.5000 0.5000 0.5000



Model B:
RbPbS2Cl PBE relaxed; M_tot = 2.031 Bohr magnetons per cell; crystal system = tetragonal; mass density = 3.3 g/cm³; V = 195.95 Å³ per cell
1.0
-2.6382 -1.4385 4.9461
4.9641 -2.1934 2.0099
1.3900 5.2150 2.2581
Pb S Cl Rb
1 2 1 1
Direct
0.5000 0.5000 0.5000
0.5000 0.0000 0.0000
0.0000 0.5000 0.0000
0.0000 0.0000 0.5000
0.0000 0.0000 0.0000



Quick ranking, most stable first: model A, model B.